The following is a DFT calculation (PBE-GGA) of a relaxed NdHoEr3 crystal.

Cell and atoms, written as POSCAR:
```
NdHoEr3
1.0
8.6677 0.0000 0.0000
0.0000 3.5383 0.0000
-3.4162 0.0000 10.3439
Nd Ho Er
2 2 6
Direct
0.0166 0.2500 0.2551
0.9834 0.7500 0.7449
0.3887 0.7500 0.3483
0.6113 0.2500 0.6517
0.1875 0.2500 0.0255
0.1916 0.2500 0.5682
0.4052 0.7500 0.8501
0.5948 0.2500 0.1499
0.8084 0.7500 0.4318
0.8125 0.7500 0.9745
```

Properties
Formation energy from the elements: 0.050 eV per atom
Symmetry: P2_1/m
Excess energy over the best structure of this formula in the dataset: 0.0411 eV per atom



The following is a DFT calculation (PBE-GGA) of a relaxed Y2Pu3ThSe6 crystal.

Cell and atoms, written as POSCAR:
```
Y2Pu3ThSe6
1.0
8.9956 -2.0600 0.0000
8.9956 2.0600 0.0000
-1.7823 0.0000 8.0798
Y Pu Th Se
2 3 1 6
Direct
0.1667 0.1667 0.3370
0.8333 0.8333 0.6630
0.1646 0.1646 0.8363
0.5000 0.5000 0.5000
0.8354 0.8354 0.1637
0.5000 0.5000 0.0000
0.0025 0.0025 0.2579
0.3301 0.3301 0.9098
0.3318 0.3318 0.4163
0.6682 0.6682 0.5837
0.6699 0.6699 0.0902
0.9975 0.9975 0.7421
```

Properties
Symmetry: C2/m
Raw formation energy: -1.630 eV per atom



The following is a DFT calculation (PBE-GGA) of a relaxed CaEuGaAu crystal.

Cell and atoms, written as POSCAR:
```
CaEuGaAu
1.0
0.0000 3.7035 3.7035
3.7035 0.0000 3.7035
3.7035 3.7035 0.0000
Ca Eu Ga Au
1 1 1 1
Direct
0.0000 0.0000 0.0000
0.5000 0.5000 0.5000
0.2500 0.2500 0.2500
0.7500 0.7500 0.7500
```

Properties
Formation energy from the elements: -0.591 eV per atom
Symmetry: F-43m



The following is a DFT calculation (PBE-GGA) of a relaxed BaPa2AgO7 crystal.

Cell and atoms, written as POSCAR:
```
BaPa2AgO7
1.0
-2.1779 2.1779 9.7335
2.1779 -2.1779 9.7335
2.1779 2.1779 -9.7335
Ba Pa Ag O
1 2 1 7
Direct
0.0000 0.0000 0.0000
0.3839 0.3839 0.0000
0.6161 0.6161 0.0000
0.7500 0.2500 0.5000
0.0980 0.5980 0.5000
0.2747 0.2747 0.0000
0.4020 0.9020 0.5000
0.5000 0.5000 0.0000
0.6022 0.1022 0.5000
0.7253 0.7253 0.0000
0.8978 0.3978 0.5000
```

Properties
Symmetry: I-4m2
Raw formation energy: -2.795 eV per atom



The following is a DFT calculation (PBE-GGA) of a relaxed Th4ScSn2 crystal.

Cell and atoms, written as POSCAR:
```
Th4ScSn2
1.0
-2.6458 2.6458 8.2617
2.6458 -2.6458 8.2617
2.6458 2.6458 -8.2617
Th Sc Sn
4 1 2
Direct
0.0000 0.5000 0.5000
0.1738 0.1738 0.0000
0.5000 0.0000 0.5000
0.8262 0.8262 0.0000
0.0000 0.0000 0.0000
0.3626 0.3626 0.0000
0.6374 0.6374 0.0000
```

Properties
Formation energy from the elements: 0.374 eV per atom
Symmetry: I4/mmm



The following is a DFT calculation (PBE-GGA) of a relaxed CaSc3Ag4 crystal.

Cell and atoms, written as POSCAR:
```
CaSc3Ag4
1.0
4.9341 0.0000 0.0000
0.0000 4.9341 0.0000
0.0000 0.0000 7.0048
Ca Sc Ag
1 3 4
Direct
0.0000 0.0000 0.0000
0.0000 0.0000 0.5000
0.5000 0.5000 0.0000
0.5000 0.5000 0.5000
0.0000 0.5000 0.2677
0.0000 0.5000 0.7323
0.5000 0.0000 0.2677
0.5000 0.0000 0.7323
```

Properties
Formation energy from the elements: -0.254 eV per atom
Symmetry: P4/mmm



The following is a DFT calculation (PBE-GGA) of a relaxed FeB3W crystal.

Cell and atoms, written as POSCAR:
```
FeB3W
1.0
3.6779 0.0000 0.0000
0.0000 3.6779 0.0000
0.0000 0.0000 3.6779
Fe B W
1 3 1
Direct
0.0000 0.0000 0.0000
0.0000 0.0000 0.5000
0.0000 0.5000 0.0000
0.5000 0.0000 0.0000
0.5000 0.5000 0.5000
```

Properties
Formation energy from the elements: 1.032 eV per atom
Symmetry: Pm-3m
Excess energy over the best structure of this formula in the dataset: 1.3041 eV per atom



The following is a DFT calculation (PBE-GGA) of a relaxed Ta2BeAu crystal.

Cell and atoms, written as POSCAR:
```
Ta2BeAu
1.0
2.8596 0.0000 0.0000
0.0000 2.8596 0.0000
0.0000 0.0000 7.6486
Ta Be Au
2 1 1
Direct
0.0000 0.0000 0.0000
0.5000 0.5000 0.3006
0.5000 0.5000 0.7732
0.0000 0.0000 0.5846
```

Properties
Formation energy from the elements: -0.057 eV per atom
Symmetry: P4mm



The following is a DFT calculation (PBE-GGA) of a relaxed BeTl2BS4 crystal.

Cell and atoms, written as POSCAR:
```
BeTl2BS4
1.0
-3.1846 3.1846 3.9707
3.1846 -3.1846 3.9707
3.1846 3.1846 -3.9707
Be Tl B S
1 2 1 4
Direct
0.0000 0.0000 0.0000
0.2500 0.7500 0.5000
0.5000 0.5000 0.0000
0.7500 0.2500 0.5000
0.0026 0.1480 0.3963
0.3937 0.9974 0.1454
0.7517 0.6063 0.6037
0.8520 0.2483 0.8546
```

Properties
Symmetry: I-4
Raw formation energy: -0.395 eV per atom



The following is a DFT calculation (PBE-GGA) of a relaxed Li2AlSn crystal.

Cell and atoms, written as POSCAR:
```
Li2AlSn
1.0
3.2958 0.0000 0.0000
0.0000 3.2958 0.0000
0.0000 0.0000 6.5714
Li Al Sn
2 1 1
Direct
0.0000 0.0000 0.2329
0.0000 0.0000 0.7671
0.5000 0.5000 0.0000
0.5000 0.5000 0.5000
```

Properties
Formation energy from the elements: -0.207 eV per atom
Symmetry: P4/mmm



The following is a DFT calculation (PBE-GGA) of a relaxed Rb4Ac3BO8 crystal.

Cell and atoms, written as POSCAR:
```
Rb4Ac3BO8
1.0
6.6959 -3.5584 0.0000
6.6959 3.5584 0.0000
-2.9703 0.0000 6.8803
Rb Ac B O
4 3 1 8
Direct
0.0000 0.0000 0.0000
0.0000 0.5000 0.0000
0.5000 0.0000 0.0000
0.5000 0.5000 0.0000
0.0000 0.0000 0.5000
0.0000 0.5000 0.5000
0.5000 0.0000 0.5000
0.5000 0.5000 0.5000
0.1978 0.1978 0.2557
0.1997 0.1997 0.6916
0.2917 0.6251 0.6106
0.3749 0.7083 0.3894
0.6251 0.2917 0.6106
0.7083 0.3749 0.3894
0.8003 0.8003 0.3084
0.8022 0.8022 0.7443
```

Properties
Symmetry: C2/m
Raw formation energy: -2.012 eV per atom